! GGA-PBE CeDyHo, optimized geometry; values from VASP
! Distance to the lowest polymorph of the same formula (meV/atom): 0
! Crystal system: trigonal
! ΔE_f (kcal/mol of atoms): 1.5
&SYSTEM
  ibrav = 0, nat = 3, ntyp = 3
/
ATOMIC_SPECIES
Ce 140.12 Ce.upf
Dy 162.50 Dy.upf
Ho 164.93 Ho.upf
CELL_PARAMETERS angstrom
-2.923 -0.738 -1.786
2.552 -2.389 0.248
-3.599 -3.101 7.170
ATOMIC_POSITIONS angstrom
Ce -2.299 -2.323 1.284
Dy -0.011 -0.010 0.023
Ho -1.660 -3.895 4.325



! GGA-PBE Ce2Dy7Ho2, optimized geometry; values from VASP
! Crystal system: orthorhombic
! ΔE_f (kcal/mol of atoms): 3.9
&SYSTEM
  ibrav = 0, nat = 11, ntyp = 3
/
ATOMIC_SPECIES
Ho 164.93 Ho.upf
Dy 162.50 Dy.upf
Ce 140.12 Ce.upf
CELL_PARAMETERS angstrom
-2.538 1.084 2.228
-8.056 -8.048 0.376
-1.061 -7.811 8.226
ATOMIC_POSITIONS angstrom
Ho -4.238 -7.334 7.199
Ho -7.417 -7.442 3.632
Dy -5.952 -5.108 1.351
Dy -1.874 -4.970 5.927
Dy -9.780 -9.806 4.904
Dy -7.447 -8.410 6.890
Dy -5.703 -9.668 9.481
Dy 0.000 0.000 0.000
Dy -4.208 -6.365 3.942
Ce -6.776 -11.624 6.389
Ce -4.878 -3.152 4.442